Li2TlFe | PBE | relaxed

a = 2.9621 Å, b = 3.9565 Å, c = 5.8915 Å
α = 90.00°, β = 90.00°, γ = 90.00°
With the nearest neighbours (Å) after each atom.
Space group Pmm2 (No. 25)
Inequivalent atoms, fractional coordinates:
Li1 0.0000 0.0000 0.0000 (multiplicity 1)  2 Tl 2.81-3.08, 4 Fe 2.82, 6 Li 2.88-2.96
Li2 0.5000 0.5000 0.2495 (multiplicity 1)  2 Fe 2.82-3.07, 6 Li 2.88-2.96, 4 Tl 2.95
Tl1 0.0000 0.0000 0.5228 (multiplicity 1)  6 Li 2.81-3.08, 4 Fe 2.87, 2 Tl 2.96
Fe1 0.5000 0.5000 0.7700 (multiplicity 1)  6 Li 2.82-3.07, 4 Tl 2.87, 2 Fe 2.96

Results
The value obtained for the total energy is -3.42 eV per atom. The formation energy comes out at 242 meV per atom.

Li2TlFe | PBE | relaxed

a = 3.2325 Å, b = 3.2325 Å, c = 6.5756 Å
α = 90.00°, β = 90.00°, γ = 90.00°
With the nearest neighbours (Å) after each atom.
Space group P4mm (No. 99)
Inequivalent atoms, fractional coordinates:
Li1 0.0000 0.0000 0.0000 (multiplicity 1)  4 Fe 2.69, 4 Li 2.80
Li2 0.5000 0.5000 0.2452 (multiplicity 1)  4 Li 2.80, 4 Tl 2.91, 1 Fe 3.02
Tl1 0.0000 0.0000 0.5180 (multiplicity 1)  4 Fe 2.88, 5 Li 2.91-3.17
Fe1 0.5000 0.5000 0.7854 (multiplicity 1)  4 Li 2.69, 4 Tl 2.88

Results
The value obtained for the total energy is -3.41 eV per atom. The formation energy comes out at 259 meV per atom.

Li2TlFe | PBE | relaxed

a = 3.9280 Å, b = 3.9280 Å, c = 4.2701 Å
α = 90.00°, β = 90.00°, γ = 90.00°
With the nearest neighbours (Å) after each atom.
Space group P4/mmm (No. 123)
Inequivalent atoms, fractional coordinates:
Li1 0.0000 0.5000 0.0000 (multiplicity 2)  4 Li 2.78, 4 Tl 2.90, 4 Fe 2.90
Tl1 0.0000 0.0000 0.5000 (multiplicity 1)  4 Fe 2.78, 8 Li 2.90
Fe1 0.5000 0.5000 0.5000 (multiplicity 1)  4 Tl 2.78, 8 Li 2.90

Results
The value obtained for the total energy is -3.49 eV per atom. The formation energy comes out at 174 meV per atom.

LiTl2Fe | PBE | relaxed

a = 4.8693 Å, b = 4.8693 Å, c = 3.2454 Å
α = 90.00°, β = 90.00°, γ = 90.00°
With the nearest neighbours (Å) after each atom.
Space group P4/mmm (No. 123)
Inequivalent atoms, fractional coordinates:
Li1 0.0000 0.0000 0.0000 (multiplicity 1)  8 Tl 2.93, 2 Li 3.25
Tl1 0.0000 0.5000 0.5000 (multiplicity 2)  4 Fe 2.93, 4 Li 2.93, 2 Tl 3.25
Fe1 0.5000 0.5000 0.0000 (multiplicity 1)  8 Tl 2.93, 2 Fe 3.25

Results
The value obtained for the total energy is -3.53 eV per atom. The formation energy comes out at 246 meV per atom.

LiTl2Fe | PBE | relaxed

a = 3.2722 Å, b = 3.2722 Å, c = 7.3185 Å
α = 90.00°, β = 90.00°, γ = 90.00°
With the nearest neighbours (Å) after each atom.
Space group P4/mmm (No. 123)
Inequivalent atoms, fractional coordinates:
Li1 0.0000 0.0000 0.0000 (multiplicity 1)  8 Tl 2.98, 4 Li 3.27
Tl1 0.5000 0.5000 0.2566 (multiplicity 2)  4 Fe 2.92, 4 Li 2.98
Fe1 0.0000 0.0000 0.5000 (multiplicity 1)  8 Tl 2.92

Results
The value obtained for the total energy is -3.53 eV per atom. The formation energy comes out at 246 meV per atom.

LiTl2Fe | PBE | relaxed

a = 3.3279 Å, b = 3.3279 Å, c = 7.4234 Å
α = 90.00°, β = 90.00°, γ = 90.00°
With the nearest neighbours (Å) after each atom.
Space group P4mm (No. 99)
Inequivalent atoms, fractional coordinates:
Li1 0.0000 0.0000 0.0000 (multiplicity 1)  4 Fe 2.71, 5 Tl 2.92-3.03
Tl1 0.0000 0.0000 0.5917 (multiplicity 1)  4 Fe 2.90, 1 Li 3.03
Tl2 0.5000 0.5000 0.2327 (multiplicity 1)  4 Li 2.92, 1 Fe 3.06
Fe1 0.5000 0.5000 0.8199 (multiplicity 1)  4 Li 2.71, 4 Tl 2.90

Results
The value obtained for the total energy is -3.43 eV per atom. The formation energy comes out at 351 meV per atom.